Record 1
# MnP2

An optimized crystal structure of MnP2 (PBE-GGA, the Alexandria database).

abc: 6.4574 6.4574 3.0877
angles: 90.00 90.00 120.00
Atoms (fractional coordinates):
Mn 0.0000 0.0000 0.0000
Mn 0.3333 0.6667 0.5000
Mn 0.6667 0.3333 0.5000
P 0.0000 0.2750 0.5000
P 0.0000 0.6170 0.0000
P 0.2750 0.0000 0.5000
P 0.3830 0.3830 0.0000
P 0.6170 0.0000 0.0000
P 0.7250 0.7250 0.5000

## Properties
* space-group type: No. 189
* DFT total energy: -6.794 eV/atom
* energy of formation: -3.01 kcal/mol of atoms

Record 2
# MnP

An optimized crystal structure of MnP (PBE-GGA, the Alexandria database).

abc: 4.1098 4.1098 6.9278
angles: 90.00 90.00 120.00
Atoms (fractional coordinates):
Mn 0.3333 0.6667 0.0760
Mn 0.3333 0.6667 0.4240
Mn 0.6667 0.3333 0.5760
Mn 0.6667 0.3333 0.9240
P 0.0000 0.0000 0.2500
P 0.0000 0.0000 0.7500
P 0.3333 0.6667 0.7500
P 0.6667 0.3333 0.2500

## Properties
* space-group type: No. 194
* DFT total energy: -7.022 eV/atom
* energy of formation: 6.18 kcal/mol of atoms

Record 3
# MnP

An optimized crystal structure of MnP (PBE-GGA, the Alexandria database).

abc: 5.0556 5.0556 5.0556
angles: 148.46 136.72 54.53
Atoms (fractional coordinates):
Mn 0.3596 0.1096 0.2500
Mn 0.6404 0.8904 0.7500
P 0.1422 0.3922 0.7500
P 0.8578 0.6078 0.2500

## Properties
* space-group type: No. 74
* DFT total energy: -7.432 eV/atom
* energy of formation: -3.28 kcal/mol of atoms